(1)
Computed, not measured: VCdS2N after structural relaxation at the GGA-PBE level of DFT.

Unit cell a=5.0164 b=5.0164 c=4.0949 alpha=90.00 beta=90.00 gamma=90.00
With the nearest neighbours (Å) after each atom.
Fractional coordinates of all 5 atoms:
S 0.5000 0.0000 0.0000  2 Cd 2.51
S 0.0000 0.5000 0.0000  2 Cd 2.51
N 0.0000 0.0000 0.5000  2 Cd 2.05
Cd 0.0000 0.0000 0.0000  2 N 2.05
V 0.5000 0.5000 0.5000  8 S 3.24, 4 N 3.55

* formation energy from raw total energies: 1213 meV per atom
* crystal system: tetragonal
* energy above the most stable polymorph in this dataset: 1312.9 meV per atom


(2)
Computed, not measured: Tb3Ce4Sb4 after structural relaxation at the GGA-PBE level of DFT.

Unit cell a=4.0747 b=10.3887 c=9.5011 alpha=123.14 beta=102.38 gamma=90.00
With the nearest neighbours (Å) after each atom.
Fractional coordinates of all 11 atoms:
Tb 0.8864 0.8864 0.7728  6 Sb 3.28-3.32, 1 Tb 3.49
Tb 0.1136 0.1136 0.2272  6 Sb 3.28-3.32, 1 Tb 3.49
Tb 0.0000 0.5000 0.0000  2 Sb 3.37
Ce 0.3068 0.5340 0.6137  2 Ce 2.73
Ce 0.6932 0.9203 0.3863  2 Ce 2.73
Ce 0.6932 0.4660 0.3863  2 Ce 2.73
Ce 0.3068 0.0797 0.6137  2 Ce 2.73
Sb 0.5000 0.8115 0.0000  2 Ce 3.10, 4 Tb 3.32
Sb 0.5000 0.1885 0.0000  2 Ce 3.10, 4 Tb 3.32
Sb 0.7808 0.2808 0.5617  6 Ce 3.14, 3 Tb 3.28-3.37
Sb 0.2192 0.7192 0.4383  6 Ce 3.14, 3 Tb 3.28-3.37

* formation energy from raw total energies: -614 meV per atom
* crystal system: orthorhombic


(3)
Computed, not measured: RbNaTl4 after structural relaxation at the GGA-PBE level of DFT.

Unit cell a=3.9442 b=3.9577 c=12.7271 alpha=90.05 beta=90.04 gamma=90.00
With the nearest neighbours (Å) after each atom.
Fractional coordinates of all 6 atoms:
Tl 0.4993 0.9994 0.3565  4 Na 3.34, 5 Tl 3.36-3.65
Tl 0.5007 0.0006 0.6435  4 Na 3.34, 5 Tl 3.36-3.65
Tl 0.0011 0.5008 0.7902  4 Tl 3.36, 1 Na 3.69
Tl 0.9989 0.4992 0.2098  4 Tl 3.36, 1 Na 3.69
Rb 0.5000 0.0000 0.0000  8 Tl 3.86-3.87, 4 Rb 3.94-3.96
Na 0.0000 0.5000 0.5000  10 Tl 3.34-3.69

* ΔH_f (0 K): -0.52 eV/f.u.
* crystal system: monoclinic
* energy above the most stable polymorph in this dataset: 0.1 meV per atom


(4)
Computed, not measured: ZrInAg after structural relaxation at the GGA-PBE level of DFT.

Unit cell a=7.5686 b=5.6393 c=3.0981 alpha=89.61 beta=89.80 gamma=75.92
With the nearest neighbours (Å) after each atom.
Fractional coordinates of all 6 atoms:
In 0.3886 0.8593 0.3697  3 Ag 2.81-2.88, 3 In 3.03-3.10, 2 Zr 3.08-3.09
In 0.0284 0.7162 0.3647  2 Ag 2.89-2.93, 3 In 3.03-3.10, 5 Zr 3.08-3.23
Zr 0.0595 0.2045 0.8656  4 Ag 3.06-3.16, 3 Zr 3.10-3.20, 6 In 3.16-3.24
Zr 0.6949 0.0130 0.8610  4 In 3.08-3.09, 3 Zr 3.10-3.20, 6 Ag 3.11-3.34
Ag 0.3747 0.3610 0.3539  3 In 2.81-2.89, 3 Ag 2.88-3.10, 3 Zr 3.12-3.14
Ag 0.7232 0.4823 0.3625  3 Ag 2.88-3.10, 2 In 2.88-2.93, 4 Zr 3.06-3.13

* ΔH_f (0 K): -0.31 eV/f.u.
* crystal system: triclinic


(5)
Computed, not measured: BiAsPd6 after structural relaxation at the GGA-PBE level of DFT.

Unit cell a=7.8716 b=7.8716 c=7.8716 alpha=33.78 beta=33.78 gamma=33.78
With the nearest neighbours (Å) after each atom.
Fractional coordinates of all 8 atoms:
As 0.0000 0.0000 0.0000  8 Pd 2.53-2.74
Pd 0.6333 0.6333 0.6333  7 Pd 2.72-3.03, 3 As 2.74, 1 Bi 2.97
Pd 0.3667 0.3667 0.3667  7 Pd 2.72-3.03, 3 As 2.74, 1 Bi 2.97
Pd 0.7558 0.7558 0.7558  8 Pd 2.70-2.92
Pd 0.2442 0.2442 0.2442  8 Pd 2.70-2.92
Pd 0.1138 0.1138 0.1138  1 As 2.53, 3 Pd 2.70
Pd 0.8862 0.8862 0.8862  1 As 2.53, 3 Pd 2.70
Bi 0.5000 0.5000 0.5000  14 Pd 2.89-3.15

* ΔH_f (0 K): -1.77 eV/f.u.
* crystal system: trigonal
* energy above the most stable polymorph in this dataset: 0.0 meV per atom


(6)
Computed, not measured: RePdW after structural relaxation at the GGA-PBE level of DFT.

Unit cell a=2.6385 b=4.5154 c=4.5154 alpha=120.00 beta=90.00 gamma=90.00
With the nearest neighbours (Å) after each atom.
Fractional coordinates of all 3 atoms:
Pd 0.1526 0.0000 0.0000  3 Re 2.61, 2 Pd 2.64, 3 W 2.92
Re 0.1981 0.3333 0.6667  3 Pd 2.61, 2 Re 2.64, 3 W 2.87
W 0.6493 0.6667 0.3333  2 W 2.64, 3 Re 2.87, 6 Pd 2.92-2.93

* ΔH_f (0 K): 0.64 eV/f.u.
* crystal system: trigonal


(7)
Computed, not measured: NaTbF4 after structural relaxation at the GGA-PBE level of DFT.

Unit cell a=3.8461 b=3.8461 c=5.5675 alpha=90.00 beta=90.00 gamma=90.00
With the nearest neighbours (Å) after each atom.
Fractional coordinates of all 6 atoms:
F 0.5000 0.0000 0.2695  2 Tb 2.31, 2 Na 2.44, 1 F 2.57
F 0.0000 0.5000 0.7305  2 Tb 2.31, 2 Na 2.44, 1 F 2.57
F 0.0000 0.5000 0.2695  2 Tb 2.31, 2 Na 2.44, 1 F 2.57
F 0.5000 0.0000 0.7305  2 Tb 2.31, 2 Na 2.44, 1 F 2.57
Na 0.0000 0.0000 0.0000  8 F 2.44
Tb 0.5000 0.5000 0.5000  8 F 2.31

* formation energy from raw total energies: -3711 meV per atom
* crystal system: tetragonal


(8)
Computed, not measured: Zr2ReTc after structural relaxation at the GGA-PBE level of DFT.

Unit cell a=2.9101 b=2.9101 c=9.2213 alpha=90.00 beta=90.00 gamma=110.46
With the nearest neighbours (Å) after each atom.
Fractional coordinates of all 4 atoms:
Zr 0.0000 0.0000 0.9737  2 Tc 2.76, 4 Zr 2.91
Zr 0.5000 0.5000 0.2743  2 Re 2.78, 4 Zr 2.91
Re 0.0000 0.0000 0.5168  2 Tc 2.61, 2 Zr 2.78, 4 Re 2.91
Tc 0.5000 0.5000 0.7352  2 Re 2.61, 2 Zr 2.76, 4 Tc 2.91

* ΔH_f (0 K): 0.41 eV/f.u.
* crystal system: orthorhombic


(9)
Computed, not measured: RbCr2Cu after structural relaxation at the GGA-PBE level of DFT.

Unit cell a=5.6861 b=5.6861 c=9.4365 alpha=72.47 beta=72.47 gamma=90.00
With the nearest neighbours (Å) after each atom.
Fractional coordinates of all 8 atoms:
Cr 0.3749 0.1250 0.2500  2 Cu 2.56, 2 Cr 2.84
Cr 0.3750 0.6251 0.7500  2 Cu 2.56, 2 Cr 2.84
Cr 0.8750 0.6249 0.7500  2 Cu 2.56, 2 Cr 2.84
Cr 0.3751 0.6250 0.2500  2 Cu 2.56, 2 Cr 2.84
Cu 0.5000 0.5000 0.0000  4 Cr 2.56
Cu 0.2500 0.7500 0.5000  4 Cr 2.56
Rb 0.0000 0.0000 0.0000  8 Cr 3.83, 4 Cu 4.02
Rb 0.7500 0.2500 0.5000  8 Cr 3.83, 4 Cu 4.02

* ΔH_f (0 K): 4.96 eV/f.u.
* crystal system: tetragonal
* energy above the most stable polymorph in this dataset: 0.0 meV per atom


(10)
Computed, not measured: GdPa2Re after structural relaxation at the GGA-PBE level of DFT.

Unit cell a=5.2413 b=5.2413 c=4.9358 alpha=57.93 beta=57.93 gamma=60.00
With the nearest neighbours (Å) after each atom.
Fractional coordinates of all 4 atoms:
Pa 0.2422 0.2422 0.2735  1 Re 2.83, 4 Gd 3.02-3.15
Pa 0.7578 0.7578 0.7265  1 Re 2.83, 4 Gd 3.02-3.15
Re 0.0000 0.0000 0.0000  2 Pa 2.83
Gd 0.5000 0.5000 0.5000  8 Pa 3.02-3.15

* ΔH_f (0 K): 1.37 eV/f.u.
* crystal system: trigonal
* energy above the most stable polymorph in this dataset: 212.4 meV per atom


(11)
Computed, not measured: AcNbSi2Ru after structural relaxation at the GGA-PBE level of DFT.

Unit cell a=4.2269 b=4.2269 c=6.3358 alpha=109.49 beta=109.49 gamma=90.00
With the nearest neighbours (Å) after each atom.
Fractional coordinates of all 5 atoms:
Ru 0.2500 0.7500 0.5000  4 Si 2.56
Nb 0.7500 0.2500 0.5000  4 Si 2.56
Ac 0.0000 0.0000 0.0000  8 Si 3.28, 4 Nb 3.50, 4 Ru 3.50
Si 0.6208 0.6208 0.2416  2 Nb 2.56, 2 Ru 2.56, 1 Si 2.70
Si 0.3792 0.3792 0.7584  2 Nb 2.56, 2 Ru 2.56, 1 Si 2.70

* formation energy from raw total energies: -572 meV per atom
* crystal system: tetragonal


(12)
Computed, not measured: K3YHo2Se6 after structural relaxation at the GGA-PBE level of DFT.

Unit cell a=7.2792 b=7.2792 c=8.0544 alpha=98.66 beta=98.66 gamma=120.00
With the nearest neighbours (Å) after each atom.
Fractional coordinates of all 12 atoms:
Se 0.4030 0.0683 0.2048  2 Ho 2.89, 1 Y 2.90
Se 0.9317 0.5970 0.7952  2 Ho 2.89, 1 Y 2.90
Se 0.7335 0.7335 0.2047  2 Ho 2.89, 1 Y 2.90
Se 0.2665 0.2665 0.7953  2 Ho 2.89, 1 Y 2.90
Se 0.0683 0.4030 0.2048  2 Ho 2.89, 1 Y 2.90
Se 0.5970 0.9317 0.7952  2 Ho 2.89, 1 Y 2.90
K 0.8336 0.1664 0.5000  6 Se 3.32
K 0.1664 0.8336 0.5000  6 Se 3.32
K 0.5000 0.5000 0.5000  6 Se 3.31-3.32
Ho 0.3333 0.6667 0.0000  6 Se 2.89
Ho 0.6667 0.3333 0.0000  6 Se 2.89
Y 0.0000 0.0000 0.0000  6 Se 2.90

* formation energy from raw total energies: -1766 meV per atom
* crystal system: monoclinic